(1)
Below is an optimized crystal structure of DyAlH6, with properties calculated at the GGA-PBE level.

The value obtained for the final energy is -30.07 eV per formula unit. The symmetry is P2_1/c, No. 14.

a = 4.341 Å, b = 4.358 Å, c = 7.486 Å
α = 90.00°, β = 108.90°, γ = 90.00°
Fractional coordinates of all 16 atoms:
1 Dy 0.000 0.000 0.000
2 Dy 0.000 0.500 0.500
3 Al 0.500 0.000 0.500
4 Al 0.500 0.500 0.000
5 H 0.189 0.179 0.307
6 H 0.189 0.321 0.807
7 H 0.215 0.551 0.101
8 H 0.215 0.949 0.601
9 H 0.424 0.652 0.390
10 H 0.424 0.848 0.890
11 H 0.576 0.152 0.110
12 H 0.576 0.348 0.610
13 H 0.785 0.051 0.399
14 H 0.785 0.449 0.899
15 H 0.811 0.679 0.193
16 H 0.811 0.821 0.693

---

(2)
Below is an optimized crystal structure of DyAlH, with properties calculated at the GGA-PBE level.

The calculation puts the energy above the lowest structure with this stoichiometry at 0.000 kcal/mol of atoms. The value obtained for the final energy is -12.87 eV per formula unit. The symmetry is C2/m, No. 12.

a = 4.140 Å, b = 4.140 Å, c = 7.585 Å
α = 105.77°, β = 105.77°, γ = 60.03°
Fractional coordinates of all 6 atoms:
1 Dy 0.100 0.100 0.301
2 Dy 0.900 0.900 0.699
3 Al 0.343 0.343 0.027
4 Al 0.657 0.657 0.973
5 H 0.202 0.202 0.609
6 H 0.798 0.798 0.391

---

(3)
Below is an optimized crystal structure of Dy4Al2H, with properties calculated at the GGA-PBE level.

The value obtained for the final energy is -31.12 eV per formula unit. The symmetry is I4/mmm, No. 139.

a = 8.763 Å, b = 8.763 Å, c = 8.763 Å
α = 150.05°, β = 150.05°, γ = 42.86°
Fractional coordinates of all 7 atoms:
1 Dy 0.000 0.500 0.500
2 Dy 0.178 0.178 0.000
3 Dy 0.500 0.000 0.500
4 Dy 0.822 0.822 0.000
5 Al 0.367 0.367 0.000
6 Al 0.633 0.633 0.000
7 H 0.000 0.000 0.000

---

(4)
Below is an optimized crystal structure of Dy2AlH, with properties calculated at the GGA-PBE level.

The calculation puts the energy above the lowest structure with this stoichiometry at 3.462 kcal/mol of atoms. The value obtained for the final energy is -16.71 eV per formula unit. The symmetry is P4/mmm, No. 123.

a = 3.276 Å, b = 3.276 Å, c = 7.317 Å
α = 90.00°, β = 90.00°, γ = 90.00°
Fractional coordinates of all 4 atoms:
1 Dy 0.000 0.000 0.227
2 Dy 0.000 0.000 0.773
3 Al 0.500 0.500 0.500
4 H 0.500 0.500 0.000